(1)
Computed, not measured: a relaxed SrC8N6 crystal at the PBE level of DFT.

space group = Pmna (53)
ΔE_f (raw) = 160 kJ/mol of formula units
density of states at the Fermi level = 0.00 states/eV per cell
M_tot = 0.0000 μB per atom

Unit cell a=8.4506 b=5.7826 c=11.5539 alpha=90.00 beta=90.00 gamma=90.00
Fractional positions:
Sr 0.0000 0.0000 0.0000
Sr 0.5000 0.0000 0.5000
C 0.0000 0.4069 0.3382
C 0.0000 0.4143 0.7439
C 0.0000 0.5857 0.2561
C 0.0000 0.5931 0.6618
C 0.1428 0.3133 0.3785
C 0.1428 0.6867 0.6215
C 0.3572 0.3133 0.1215
C 0.3572 0.6867 0.8785
C 0.5000 0.4069 0.1618
C 0.5000 0.4143 0.7561
C 0.5000 0.5857 0.2439
C 0.5000 0.5931 0.8382
C 0.6428 0.3133 0.1215
C 0.6428 0.6867 0.8785
C 0.8572 0.3133 0.3785
C 0.8572 0.6867 0.6215
N 0.0000 0.2663 0.8133
N 0.0000 0.7337 0.1867
N 0.2388 0.2333 0.0868
N 0.2388 0.7667 0.9132
N 0.2612 0.2333 0.4132
N 0.2612 0.7667 0.5868
N 0.5000 0.2663 0.6867
N 0.5000 0.7337 0.3133
N 0.7388 0.2333 0.4132
N 0.7388 0.7667 0.5868
N 0.7612 0.2333 0.0868
N 0.7612 0.7667 0.9132

=====

(2)
Computed, not measured: a relaxed Sr3CN5 crystal at the PBE level of DFT.

space group = I4/mcm (140)
ΔE_f (raw) = -84 kJ/mol of formula units
density of states at the Fermi level = 4.38 states/eV per cell
M_tot = 0.1046 μB per atom

Unit cell a=7.5133 b=7.5133 c=7.5133 alpha=124.50 beta=124.50 gamma=82.37
Fractional positions:
Sr 0.2001 0.7001 0.9002
Sr 0.2500 0.2500 0.0000
Sr 0.2999 0.2001 0.5000
Sr 0.7001 0.7999 0.5000
Sr 0.7500 0.7500 0.0000
Sr 0.7999 0.2999 0.0998
C 0.2500 0.7500 0.5000
C 0.7500 0.2500 0.5000
N 0.0000 0.0000 0.0000
N 0.0656 0.7312 0.5000
N 0.2312 0.5656 0.5000
N 0.2688 0.7688 0.3344
N 0.4344 0.9344 0.6656
N 0.5000 0.5000 0.0000
N 0.5656 0.0656 0.3344
N 0.7312 0.2312 0.6656
N 0.7688 0.4344 0.5000
N 0.9344 0.2688 0.5000

=====

(3)
Computed, not measured: a relaxed Sr2C2N3 crystal at the PBE level of DFT.

space group = P6_3/mmc (194)
ΔE_f (raw) = -164 kJ/mol of formula units
density of states at the Fermi level = 6.43 states/eV per cell
M_tot = 0.1006 μB per atom

Unit cell a=10.2233 b=10.2233 c=6.9131 alpha=90.00 beta=90.00 gamma=120.00
Fractional positions:
Sr 0.1990 0.3980 0.2500
Sr 0.1990 0.8010 0.2500
Sr 0.3333 0.6667 0.7500
Sr 0.3980 0.1990 0.7500
Sr 0.6020 0.8010 0.2500
Sr 0.6667 0.3333 0.2500
Sr 0.8010 0.1990 0.7500
Sr 0.8010 0.6020 0.7500
C 0.0000 0.0000 0.2500
C 0.0000 0.0000 0.7500
C 0.0000 0.5000 0.0000
C 0.0000 0.5000 0.5000
C 0.5000 0.0000 0.0000
C 0.5000 0.0000 0.5000
C 0.5000 0.5000 0.0000
C 0.5000 0.5000 0.5000
N 0.1377 0.5689 0.0279
N 0.1377 0.5689 0.4721
N 0.4311 0.5689 0.0279
N 0.4311 0.5689 0.4721
N 0.4311 0.8623 0.0279
N 0.4311 0.8623 0.4721
N 0.5689 0.1377 0.5279
N 0.5689 0.1377 0.9721
N 0.5689 0.4311 0.5279
N 0.5689 0.4311 0.9721
N 0.8623 0.4311 0.5279
N 0.8623 0.4311 0.9721

=====

(4)
Computed, not measured: a relaxed SrCN2 crystal at the PBE level of DFT.

space group = Pmma (51)
ΔE_f (raw) = -248 kJ/mol of formula units
density of states at the Fermi level = 0.00 states/eV per cell
M_tot = 0.0000 μB per atom

Unit cell a=5.8578 b=3.7725 c=7.1128 alpha=90.00 beta=90.00 gamma=90.00
Fractional positions:
Sr 0.2500 0.0000 0.2490
Sr 0.7500 0.0000 0.7510
C 0.2500 0.5000 0.7504
C 0.7500 0.5000 0.2496
N 0.0387 0.5000 0.7505
N 0.4613 0.5000 0.7505
N 0.5387 0.5000 0.2495
N 0.9613 0.5000 0.2495

=====

(5)
Computed, not measured: a relaxed SrCN3 crystal at the PBE level of DFT.

space group = Pm-3m (221)
ΔE_f (raw) = 1657 kJ/mol of formula units
density of states at the Fermi level = 2.60 states/eV per cell
M_tot = 1.0000 μB per atom

Unit cell a=4.8455 b=4.8455 c=4.8455 alpha=90.00 beta=90.00 gamma=90.00
Fractional positions:
Sr 0.0000 0.0000 0.0000
C 0.5000 0.5000 0.5000
N 0.0000 0.0000 0.5000
N 0.0000 0.5000 0.0000
N 0.5000 0.0000 0.0000

=====

(6)
Computed, not measured: a relaxed SrCN3 crystal at the PBE level of DFT.

space group = P2_1/m (11)
ΔE_f (raw) = 26 kJ/mol of formula units
density of states at the Fermi level = 2.64 states/eV per cell
M_tot = 0.0000 μB per atom

Unit cell a=3.9531 b=4.8284 c=8.2444 alpha=90.00 beta=103.58 gamma=90.00
Fractional positions:
Sr 0.0928 0.2500 0.3104
Sr 0.9072 0.7500 0.6896
C 0.4822 0.2500 0.0523
C 0.5178 0.7500 0.9477
N 0.2536 0.7500 0.4755
N 0.4258 0.7500 0.3728
N 0.5000 0.0000 0.0000
N 0.5000 0.5000 0.0000
N 0.5742 0.2500 0.6272
N 0.7464 0.2500 0.5245

=====

(7)
Computed, not measured: a relaxed Sr3CN crystal at the PBE level of DFT.

space group = Pm-3m (221)
ΔE_f (raw) = 212 kJ/mol of formula units
density of states at the Fermi level = 4.15 states/eV per cell
M_tot = 0.1988 μB per atom
offset from the most stable computed form = 0 meV per atom

Unit cell a=5.0437 b=5.0437 c=5.0437 alpha=90.00 beta=90.00 gamma=90.00
Fractional positions:
Sr 0.0000 0.0000 0.5000
Sr 0.0000 0.5000 0.0000
Sr 0.5000 0.0000 0.0000
C 0.5000 0.5000 0.5000
N 0.0000 0.0000 0.0000

=====

(8)
Computed, not measured: a relaxed SrCN2 crystal at the PBE level of DFT.

space group = Pnma (62)
ΔE_f (raw) = -331 kJ/mol of formula units
density of states at the Fermi level = 0.00 states/eV per cell
M_tot = 0.0000 μB per atom

Unit cell a=12.5442 b=3.9940 c=5.4549 alpha=90.00 beta=90.00 gamma=90.00
Fractional positions:
Sr 0.1305 0.2500 0.1161
Sr 0.3695 0.7500 0.6161
Sr 0.6305 0.2500 0.3839
Sr 0.8695 0.7500 0.8839
C 0.1229 0.7500 0.6184
C 0.3771 0.2500 0.1184
C 0.6229 0.7500 0.8816
C 0.8771 0.2500 0.3816
N 0.0771 0.7500 0.8195
N 0.1718 0.7500 0.4205
N 0.3282 0.2500 0.9205
N 0.4229 0.2500 0.3195
N 0.5771 0.7500 0.6805
N 0.6718 0.7500 0.0795
N 0.8282 0.2500 0.5795
N 0.9229 0.2500 0.1805

=====

(9)
Computed, not measured: a relaxed Sr2CN crystal at the PBE level of DFT.

space group = Fm-3m (225)
ΔE_f (raw) = 288 kJ/mol of formula units
density of states at the Fermi level = 1.08 states/eV per cell
M_tot = 0.7260 μB per atom
offset from the most stable computed form = 38 meV per atom

Unit cell a=4.6854 b=4.6854 c=4.6854 alpha=60.00 beta=60.00 gamma=60.00
Fractional positions:
Sr 0.2500 0.2500 0.2500
Sr 0.7500 0.7500 0.7500
C 0.0000 0.0000 0.0000
N 0.5000 0.5000 0.5000

=====

(10)
Computed, not measured: a relaxed SrCN2 crystal at the PBE level of DFT.

space group = I-42d (122)
ΔE_f (raw) = 98 kJ/mol of formula units
density of states at the Fermi level = 0.00 states/eV per cell
M_tot = 0.0000 μB per atom

Unit cell a=4.7861 b=4.7861 c=4.7861 alpha=115.74 beta=115.74 gamma=97.55
Fractional positions:
Sr 0.0000 0.0000 0.0000
Sr 0.7500 0.2500 0.5000
C 0.2500 0.7500 0.5000
C 0.5000 0.5000 0.0000
N 0.2728 0.6250 0.1478
N 0.3750 0.5228 0.6478
N 0.4772 0.1250 0.8522
N 0.8750 0.7272 0.3522

=====

(11)
Computed, not measured: a relaxed Sr5CN6 crystal at the PBE level of DFT.

space group = C2/m (12)
ΔE_f (raw) = -107 kJ/mol of formula units
density of states at the Fermi level = 6.08 states/eV per cell
M_tot = 0.3334 μB per atom

Unit cell a=6.5178 b=6.5178 c=6.2730 alpha=92.80 beta=92.80 gamma=116.05
Fractional positions:
Sr 0.0000 0.0000 0.0000
Sr 0.2438 0.7562 0.5000
Sr 0.3419 0.6581 0.0000
Sr 0.6581 0.3419 0.0000
Sr 0.7562 0.2438 0.5000
C 0.5000 0.5000 0.5000
N 0.0212 0.3791 0.2083
N 0.3791 0.0212 0.2083
N 0.4125 0.4125 0.6651
N 0.5875 0.5875 0.3349
N 0.6209 0.9788 0.7917
N 0.9788 0.6209 0.7917

=====

(12)
Computed, not measured: a relaxed Sr4CN4 crystal at the PBE level of DFT.

space group = Pnma (62)
ΔE_f (raw) = -602 kJ/mol of formula units
M_tot = 0.0000 μB per atom

Unit cell a=12.2551 b=3.8240 c=14.8445 alpha=90.00 beta=90.00 gamma=90.00
Fractional positions:
Sr 0.1066 0.2500 0.1760
Sr 0.1153 0.7500 0.3941
Sr 0.1245 0.7500 0.9626
Sr 0.1495 0.2500 0.7598
Sr 0.3505 0.7500 0.2598
Sr 0.3755 0.2500 0.4626
Sr 0.3847 0.2500 0.8941
Sr 0.3934 0.7500 0.6760
Sr 0.6066 0.2500 0.3240
Sr 0.6153 0.7500 0.1059
Sr 0.6245 0.7500 0.5374
Sr 0.6495 0.2500 0.7402
Sr 0.8505 0.7500 0.2402
Sr 0.8755 0.2500 0.0374
Sr 0.8847 0.2500 0.6059
Sr 0.8934 0.7500 0.8240
C 0.1459 0.7500 0.5898
C 0.3541 0.2500 0.0898
C 0.6459 0.7500 0.9102
C 0.8541 0.2500 0.4102
N 0.0081 0.2500 0.8808
N 0.0556 0.7500 0.6284
N 0.2245 0.2500 0.3221
N 0.2351 0.7500 0.5497
N 0.2649 0.2500 0.0497
N 0.2755 0.7500 0.8221
N 0.4444 0.2500 0.1284
N 0.4919 0.7500 0.3808
N 0.5081 0.2500 0.6192
N 0.5556 0.7500 0.8716
N 0.7245 0.2500 0.1779
N 0.7351 0.7500 0.9503
N 0.7649 0.2500 0.4503
N 0.7755 0.7500 0.6779
N 0.9444 0.2500 0.3716
N 0.9919 0.7500 0.1192

=====

- Among the records above, which one has the highest M_tot?
  number 5

=====

- Among the records above, which one has the highest ΔE_f (raw)?
  number 5